The following is a PBE calculation of BeTcIr2 after structural relaxation, from the Alexandria database.

a b c (Å): 2.776 4.500 4.367
angles (deg): 90.00 90.00 90.00
Atoms (fractional coordinates):
Tc: 0.500 0.000 0.500
Be: 0.000 0.500 0.500
Ir: 0.500 0.500 0.000
Ir: 0.000 0.000 0.000

Summary:
Formation enthalpy at 0 K, eV per atom: 0.117



The following is a PBE calculation of La2Tl2Ga after structural relaxation, from the Alexandria database.

a b c (Å): 7.767 7.767 4.964
angles (deg): 90.00 90.00 90.00
Atoms (fractional coordinates):
Ga: 0.000 0.000 0.000
Ga: 0.500 0.500 0.000
La: 0.331 0.169 0.500
La: 0.169 0.669 0.500
La: 0.669 0.831 0.500
La: 0.831 0.331 0.500
Tl: 0.639 0.139 0.000
Tl: 0.139 0.361 0.000
Tl: 0.861 0.639 0.000
Tl: 0.361 0.861 0.000

Summary:
Formation enthalpy at 0 K, eV per atom: -0.347
Energy above the lowest structure with this stoichiometry, meV per atom: 86



The following is a PBE calculation of CsTmCd2F8 after structural relaxation, from the Alexandria database.

a b c (Å): 5.452 5.563 8.049
angles (deg): 82.56 83.21 81.04
Atoms (fractional coordinates):
F: 0.726 0.756 0.053
F: 0.805 0.227 0.804
F: 0.207 0.783 0.812
F: 0.274 0.244 0.947
F: 0.639 0.674 0.507
F: 0.361 0.326 0.493
F: 0.195 0.773 0.196
F: 0.793 0.217 0.188
Cd: 0.455 0.455 0.729
Cd: 0.545 0.545 0.271
Tm: 0.000 0.000 0.000
Cs: 0.000 0.000 0.500

Summary:
Energy relative to the elements, uncorrected, eV/atom: -2.902



The following is a PBE calculation of IrRuO after structural relaxation, from the Alexandria database.

a b c (Å): 2.756 2.756 16.778
angles (deg): 90.00 90.00 120.00
Atoms (fractional coordinates):
Ir: 0.667 0.333 0.103
Ir: 0.333 0.667 0.437
Ir: 0.000 0.000 0.770
Ru: 0.667 0.333 0.642
Ru: 0.000 0.000 0.309
Ru: 0.333 0.667 0.975
O: 0.000 0.000 0.895
O: 0.667 0.333 0.228
O: 0.333 0.667 0.561

Summary:
Energy relative to the elements, uncorrected, eV/atom: -0.259
Energy above the lowest structure with this stoichiometry, meV per atom: 0



Copy entry 1 word for word.
The following is a PBE calculation of BeTcIr2 after structural relaxation, from the Alexandria database.

a b c (Å): 2.776 4.500 4.367
angles (deg): 90.00 90.00 90.00
Atoms (fractional coordinates):
Tc: 0.500 0.000 0.500
Be: 0.000 0.500 0.500
Ir: 0.500 0.500 0.000
Ir: 0.000 0.000 0.000

Summary:
Formation enthalpy at 0 K, eV per atom: 0.117